No. 1
YBeP2O after structural relaxation, computed with PBE-GGA.

Lattice parameters (Å, degrees): 5.4082 5.4082 4.1433 90.00 90.00 90.00
Fractional coordinates of all 5 atoms:
Y 0.0000 0.0000 0.0000
Be 0.5000 0.5000 0.5000
P 0.0000 0.5000 0.0000
P 0.5000 0.0000 0.0000
O 0.0000 0.0000 0.5000

Results
Calculated total energy: -4.752 eV/atom
Space-group type: No. 123
Energy above the most stable polymorph in this dataset: 1162 meV per atom
Calculated density: 2.4 g/cm³

---

No. 2
YBePO2 after structural relaxation, computed with PBE-GGA.

Lattice parameters (Å, degrees): 3.8613 3.8613 4.1294 90.00 90.00 90.00
Fractional coordinates of all 5 atoms:
Y 0.0000 0.0000 0.0000
Be 0.5000 0.5000 0.5000
P 0.5000 0.5000 0.0000
O 0.0000 0.5000 0.5000
O 0.5000 0.0000 0.5000

Results
Calculated total energy: -6.245 eV/atom
Space-group type: No. 123
Energy above the most stable polymorph in this dataset: 0 meV per atom
Calculated density: 4.3 g/cm³

---

No. 3
YBeP2O after structural relaxation, computed with PBE-GGA.

Lattice parameters (Å, degrees): 5.1038 5.1038 3.0163 90.00 90.00 90.00
Fractional coordinates of all 5 atoms:
Y 0.0000 0.0000 0.0000
Be 0.5000 0.5000 0.5000
P 0.0000 0.5000 0.5000
P 0.5000 0.0000 0.5000
O 0.5000 0.5000 0.0000

Results
Calculated total energy: -5.914 eV/atom
Space-group type: No. 123
Energy above the most stable polymorph in this dataset: 0 meV per atom
Calculated density: 3.7 g/cm³

---

No. 4
YBePO2 after structural relaxation, computed with PBE-GGA.

Lattice parameters (Å, degrees): 4.1352 4.1352 5.9649 90.00 90.00 90.00
Fractional coordinates of all 5 atoms:
Y 0.0000 0.0000 0.0000
Be 0.5000 0.5000 0.5000
P 0.0000 0.0000 0.5000
O 0.0000 0.5000 0.0000
O 0.5000 0.0000 0.0000

Results
Calculated total energy: -5.436 eV/atom
Space-group type: No. 123
Energy above the most stable polymorph in this dataset: 809 meV per atom
Calculated density: 2.6 g/cm³

---

No. 5
Be2ZnPO6 after structural relaxation, computed with PBE-GGA.

Lattice parameters (Å, degrees): 7.2481 7.2481 4.7157 105.80 105.80 97.31
Fractional coordinates of all 20 atoms:
Be 0.1342 0.3100 0.3476
Be 0.3100 0.1342 0.8476
Be 0.6900 0.8658 0.1524
Be 0.8658 0.6900 0.6524
Zn 0.0938 0.9062 0.2500
Zn 0.9062 0.0938 0.7500
P 0.2890 0.7110 0.7500
P 0.7110 0.2890 0.2500
O 0.1036 0.6970 0.8635
O 0.1416 0.1842 0.5879
O 0.1842 0.1416 0.0879
O 0.2563 0.5280 0.4753
O 0.3030 0.8964 0.6365
O 0.4720 0.7437 0.0247
O 0.5280 0.2563 0.9753
O 0.6970 0.1036 0.3635
O 0.7437 0.4720 0.5247
O 0.8158 0.8584 0.9121
O 0.8584 0.8158 0.4121
O 0.8964 0.3030 0.1365

Results
Calculated total energy: -6.456 eV/atom
Space-group type: No. 15
Calculated density: 3.1 g/cm³

---

No. 6
BeZnP2O after structural relaxation, computed with PBE-GGA.

Lattice parameters (Å, degrees): 4.9238 4.9238 2.8894 90.00 90.00 90.00
Fractional coordinates of all 5 atoms:
Be 0.0000 0.0000 0.0000
Zn 0.5000 0.5000 0.5000
P 0.0000 0.5000 0.0000
P 0.5000 0.0000 0.0000
O 0.0000 0.0000 0.5000

Results
Calculated total energy: -4.243 eV/atom
Space-group type: No. 123
Energy above the most stable polymorph in this dataset: 0 meV per atom
Calculated density: 3.6 g/cm³